The following is a PBE+U calculation of a geometry-optimized Ac2MnIrO6 structure, from Alexandria.

## Properties
density of states at the Fermi level: 10.36 states/eV per cell
E_tot: -7.64 eV/atom
volume: 270.7 Å³ per cell

Cell lengths 5.741, 8.041, 5.864 Å; angles 90.00, 90.00, 90.00 degrees
Sites, in units of the cell vectors:
Ac 0.250 0.001 0.233
Ac 0.250 0.499 0.233
Ac 0.750 0.501 0.767
Ac 0.750 0.999 0.767
Mn 0.250 0.750 0.743
Mn 0.750 0.250 0.257
Ir 0.250 0.250 0.747
Ir 0.750 0.750 0.253
O 0.003 0.250 0.995
O 0.010 0.250 0.496
O 0.250 0.002 0.780
O 0.250 0.498 0.780
O 0.490 0.250 0.496
O 0.497 0.250 0.995
O 0.503 0.750 0.005
O 0.510 0.750 0.504
O 0.750 0.502 0.220
O 0.750 0.998 0.220
O 0.990 0.750 0.504
O 0.997 0.750 0.005